[1]
Computed, not measured: a geometry-optimized LiBeH3 structure at the PBE-GGA level of DFT.

abc: 6.029 6.137 13.154
angles: 90.00 97.74 90.00
Space group P2_1/c (No. 14)
One atom of each set of equivalent atoms:
Li 0.010 0.119 0.252 (multiplicity 4)
Li 0.240 0.618 0.593 (multiplicity 4)
Li 0.254 0.127 0.601 (multiplicity 4)
Be 0.224 0.166 0.908 (multiplicity 4)
Be 0.228 0.594 0.912 (multiplicity 4)
Be 0.435 0.618 0.314 (multiplicity 4)
H 0.025 0.120 0.841 (multiplicity 4)
H 0.026 0.645 0.848 (multiplicity 4)
H 0.197 0.131 0.010 (multiplicity 4)
H 0.225 0.624 0.018 (multiplicity 4)
H 0.293 0.120 0.384 (multiplicity 4)
H 0.293 0.617 0.218 (multiplicity 4)
H 0.331 0.119 0.194 (multiplicity 4)
H 0.423 0.695 0.880 (multiplicity 4)
H 0.425 0.065 0.883 (multiplicity 4)

Summary:
energy above the lowest structure with this stoichiometry	0.00	eV/f.u.
crystal system	monoclinic
DOS at the Fermi energy	0.00	states/eV per cell
magnetization	0.0	μB per formula unit
uncorrected energy	-3.386	eV per atom

[2]
Computed, not measured: a geometry-optimized LiBeH4 structure at the PBE-GGA level of DFT.

abc: 4.484 4.470 4.117
angles: 90.00 107.35 90.00
Space group P2/c (No. 13)
One atom of each set of equivalent atoms:
Li 0.000 0.249 0.250 (multiplicity 2)
Be 0.500 0.105 0.750 (multiplicity 2)
H 0.272 0.082 0.001 (multiplicity 4)
H 0.364 0.425 0.692 (multiplicity 4)

Summary:
crystal system	monoclinic
DOS at the Fermi energy	0.59	states/eV per cell
magnetization	0.0	μB per formula unit
uncorrected energy	-3.082	eV per atom

[3]
Computed, not measured: a geometry-optimized LiBeH2 structure at the PBE-GGA level of DFT.

abc: 2.467 2.467 4.571
angles: 90.00 90.00 90.00
Space group P4/mmm (No. 123)
One atom of each set of equivalent atoms:
Li 0.000 0.000 0.000 (multiplicity 1)
Be 0.000 0.000 0.500 (multiplicity 1)
H 0.500 0.500 0.284 (multiplicity 2)

Summary:
energy above the lowest structure with this stoichiometry	2.15	eV/f.u.
crystal system	tetragonal
DOS at the Fermi energy	0.86	states/eV per cell
magnetization	0.0	μB per formula unit
uncorrected energy	-2.632	eV per atom

[4]
Computed, not measured: a geometry-optimized LiBeH3 structure at the PBE-GGA level of DFT.

abc: 5.153 4.871 8.830
angles: 90.00 120.79 90.00
Space group P2_1/c (No. 14)
One atom of each set of equivalent atoms:
Li 0.232 0.093 0.327 (multiplicity 4)
Be 0.138 0.665 0.062 (multiplicity 4)
H 0.058 0.671 0.661 (multiplicity 4)
H 0.133 0.123 0.614 (multiplicity 4)
H 0.383 0.714 0.040 (multiplicity 4)

Summary:
energy above the lowest structure with this stoichiometry	0.11	eV/f.u.
crystal system	monoclinic
DOS at the Fermi energy	0.00	states/eV per cell
magnetization	0.0	μB per formula unit
uncorrected energy	-3.365	eV per atom

[5]
Computed, not measured: a geometry-optimized LiBeH3 structure at the PBE-GGA level of DFT.

abc: 8.678 8.016 4.690
angles: 90.00 109.61 90.00
Space group C2/c (No. 15)
One atom of each set of equivalent atoms:
Li 0.000 0.099 0.250 (multiplicity 4)
Li 0.000 0.288 0.750 (multiplicity 4)
Be 0.215 0.413 0.234 (multiplicity 8)
H 0.113 0.095 0.662 (multiplicity 8)
H 0.137 0.257 0.159 (multiplicity 8)
H 0.145 0.492 0.450 (multiplicity 8)

Summary:
energy above the lowest structure with this stoichiometry	0.07	eV/f.u.
crystal system	monoclinic
DOS at the Fermi energy	0.00	states/eV per cell
magnetization	0.0	μB per formula unit
uncorrected energy	-3.371	eV per atom

[6]
Computed, not measured: a geometry-optimized LiBeH2 structure at the PBE-GGA level of DFT.

abc: 3.962 3.962 7.911
angles: 90.00 90.00 90.00
Space group I-42d (No. 122)
One atom of each set of equivalent atoms:
Li 0.000 0.000 0.000 (multiplicity 4)
Be 0.000 0.000 0.500 (multiplicity 4)
H 0.170 0.250 0.625 (multiplicity 8)

Summary:
energy above the lowest structure with this stoichiometry	0.71	eV/f.u.
crystal system	tetragonal
DOS at the Fermi energy	3.06	states/eV per cell
magnetization	0.0	μB per formula unit
uncorrected energy	-2.990	eV per atom

[7]
Computed, not measured: a geometry-optimized LiBeH2 structure at the PBE-GGA level of DFT.

abc: 4.864 4.864 4.864
angles: 90.00 90.00 90.00
Space group Fm-3m (No. 225)
One atom of each set of equivalent atoms:
Li 0.000 0.000 0.000 (multiplicity 4)
Be 0.000 0.000 0.500 (multiplicity 4)
H 0.250 0.250 0.250 (multiplicity 8)

Summary:
energy above the lowest structure with this stoichiometry	2.28	eV/f.u.
crystal system	cubic
DOS at the Fermi energy	1.84	states/eV per cell
magnetization	0.0	μB per formula unit
uncorrected energy	-2.598	eV per atom

[8]
Computed, not measured: a geometry-optimized Li2Be2H5 structure at the PBE-GGA level of DFT.

abc: 9.845 3.221 4.553
angles: 90.00 109.28 90.00
Space group C2/m (No. 12)
One atom of each set of equivalent atoms:
Li 0.118 0.000 0.325 (multiplicity 4)
Be 0.170 0.500 0.893 (multiplicity 4)
H 0.000 0.500 0.000 (multiplicity 2)
H 0.145 0.500 0.568 (multiplicity 4)
H 0.170 0.000 0.960 (multiplicity 4)

Summary:
crystal system	monoclinic
DOS at the Fermi energy	1.58	states/eV per cell
magnetization	0.0	μB per formula unit
uncorrected energy	-3.143	eV per atom